Below is a relaxed structure of Pm2CdGa2Rh5, with properties calculated at the PBE level.

```
20
Lattice="9.955 0.000 0.000 0.000 9.955 0.000 0.000 0.000 3.624" Properties=species:S:1:pos:R:3 pbc="T T T"
Pm 1.749 3.229 0.000
Pm 3.229 8.207 0.000
Pm 6.726 1.749 0.000
Pm 8.207 6.726 0.000
Cd 0.000 0.000 0.000
Cd 4.978 4.978 0.000
Ga 1.220 6.197 0.000
Ga 3.758 1.220 0.000
Ga 6.197 8.736 0.000
Ga 8.736 3.758 0.000
Rh 0.000 4.978 1.812
Rh 0.677 7.858 1.812
Rh 2.098 0.677 1.812
Rh 2.880 5.654 1.812
Rh 4.301 2.880 1.812
Rh 4.978 0.000 1.812
Rh 5.654 7.075 1.812
Rh 7.075 4.301 1.812
Rh 7.858 9.279 1.812
Rh 9.279 2.098 1.812
```

Summary:
- Size of the total moment: 0.00 μB per cell
- Density of states at the Fermi level: 0.5401 states/eV/atom
- ΔE_f: -0.656 eV/atom
- Symmetry: P4/mbm
- Crystal system: tetragonal

***

Below is a relaxed structure of CdSb2Cl, with properties calculated at the PBE level.

```
4
Lattice="-1.765 2.357 6.450 1.765 -2.357 6.450 1.765 2.357 -6.450" Properties=species:S:1:pos:R:3 pbc="T T T"
Cd 0.000 0.000 0.000
Sb 1.765 0.000 2.603
Sb 0.000 2.357 3.848
Cl 0.000 0.000 6.450
```

Summary:
- Size of the total moment: 0.00 μB per cell
- Density of states at the Fermi level: 0.4000 states/eV/atom
- Energy above the lowest structure with this stoichiometry: 151 meV per atom
- Symmetry: Immm
- Energy relative to the elements, uncorrected: -0.133 eV per atom
- Crystal system: orthorhombic

***

Below is a relaxed structure of Pr2DyEr, with properties calculated at the PBE level.

```
4
Lattice="1.814 1.047 11.700 -1.814 1.047 11.700 0.000 -2.094 11.700" Properties=species:S:1:pos:R:3 pbc="T T T"
Pr 0.000 0.000 8.788
Pr 0.000 0.000 26.311
Dy 0.000 0.000 17.549
Er 0.000 0.000 0.000
```

Summary:
- Size of the total moment: 0.01 μB per cell
- Density of states at the Fermi level: 1.0914 states/eV/atom
- ΔE_f: 0.018 eV/atom
- Energy above the lowest structure with this stoichiometry: 0 meV per atom
- Symmetry: R-3m
- Crystal system: trigonal